[1]
DFT (PBE) results for a relaxed GaCuPt3 crystal.

Structure (extended XYZ):
```
5
Lattice="4.6088 0.0000 0.0000 0.0000 4.6088 0.0000 0.0000 0.0000 4.6088" Properties=species:S:1:pos:R:3 pbc="T T T"
Ga 0.0000 0.0000 0.0000
Cu 2.3044 2.3044 2.3044
Pt 0.0000 0.0000 2.3044
Pt 0.0000 2.3044 0.0000
Pt 2.3044 0.0000 0.0000
```

Results
DOS(E_F): 0.72 states/eV/cell
V: 98 Å³/cell
calculated formation energy: 0.67 eV per atom
energy: -4.381 eV per atom
E above lowest polymorph: 1044 meV per atom

---

[2]
DFT (PBE) results for a relaxed GaCu6Pt2 crystal.

Structure (extended XYZ):
```
9
Lattice="3.3856 -6.5130 0.0000 3.3856 6.5130 0.0000 -0.5176 0.0000 2.7281" Properties=species:S:1:pos:R:3 pbc="T T T"
Ga 0.0000 0.0000 0.0000
Cu 2.2307 2.1354 0.4475
Cu 1.9717 0.0000 1.8296
Cu 4.0230 2.1354 2.2805
Cu 2.2307 -2.1354 0.4475
Cu 4.2819 0.0000 0.8984
Cu 4.0230 -2.1354 2.2805
Pt 3.1268 4.4038 1.3640
Pt 3.1268 -4.4038 1.3640
```

Results
DOS(E_F): 4.06 states/eV/cell
V: 120 Å³/cell
calculated formation energy: -0.14 eV per atom
energy: -4.545 eV per atom
E above lowest polymorph: 14 meV per atom

---

[3]
DFT (PBE) results for a relaxed GaCu6Pt2 crystal.

Structure (extended XYZ):
```
9
Lattice="3.3215 -3.6559 0.0000 3.3215 3.6559 0.0000 -0.6856 0.0000 4.9066" Properties=species:S:1:pos:R:3 pbc="T T T"
Ga 0.0000 0.0000 0.0000
Cu 1.6530 1.2091 4.0765
Cu 2.9787 2.4182 2.4533
Cu 1.6530 -1.2091 4.0765
Cu 4.3044 1.2091 0.8300
Cu 2.9787 -2.4182 2.4533
Cu 4.3044 -1.2091 0.8300
Pt 1.9262 0.0000 1.5858
Pt 4.0313 0.0000 3.3208
```

Results
DOS(E_F): 3.39 states/eV/cell
V: 119 Å³/cell
calculated formation energy: -0.15 eV per atom
energy: -4.559 eV per atom
E above lowest polymorph: 0 meV per atom